No. 1
This record from the Open Quantum Materials Database describes an optimized crystal structure of SrGdAuSe3. The functional is GGA-PBE.

Values from the calculation:
For the final energy, the calculation gives -57.86 eV/cell. As for the crystal system: monoclinic. The value obtained for the spin magnetization is 0.002 Bohr magnetons per cell.

Unit cell a=8.0642 b=4.1290 c=9.9096 alpha=90.00 beta=105.81 gamma=90.00
Atoms (fractional coordinates):
1 Se 0.2972 0.7500 0.5363
2 Se 0.9366 0.7500 0.1558
3 Se 0.7028 0.2500 0.4637
4 Au 0.1106 0.2500 0.5918
5 Sr 0.7652 0.7500 0.7172
6 Au 0.8894 0.7500 0.4082
7 Se 0.5754 0.2500 0.8610
8 Se 0.4246 0.7500 0.1390
9 Gd 0.3137 0.7500 0.8342
10 Se 0.0634 0.2500 0.8442
11 Sr 0.2348 0.2500 0.2828
12 Gd 0.6863 0.2500 0.1658

***

No. 2
This record from the Open Quantum Materials Database describes an optimized crystal structure of SrGdTeAuSe2. The functional is GGA-PBE.

Values from the calculation:
For the final energy, the calculation gives -55.90 eV/cell. As for the crystal system: orthorhombic. The value obtained for the spin magnetization is 0.002 Bohr magnetons per cell.

Unit cell a=7.6113 b=7.6113 c=11.0155 alpha=90.00 beta=90.00 gamma=148.32
Atoms (fractional coordinates):
1 Te 0.8979 0.1021 0.7500
2 Se 0.3650 0.6350 0.4403
3 Au 0.5260 0.4740 0.7500
4 Sr 0.7821 0.2179 0.2500
5 Te 0.1021 0.8979 0.2500
6 Se 0.6350 0.3650 0.9403
7 Au 0.4740 0.5260 0.2500
8 Se 0.6350 0.3650 0.5597
9 Gd 0.0000 0.0000 0.5000
10 Sr 0.2179 0.7821 0.7500
11 Gd 0.0000 0.0000 0.0000
12 Se 0.3650 0.6350 0.0597

***

No. 3
This record from the Open Quantum Materials Database describes an optimized crystal structure of Gd4Si3Au. The functional is GGA-PBE.

Values from the calculation:
For the final energy, the calculation gives -44.38 eV/cell. As for the crystal system: monoclinic. The value obtained for the spin magnetization is 0.080 Bohr magnetons per cell.

Unit cell a=5.8239 b=4.0235 c=7.9212 alpha=90.00 beta=90.71 gamma=90.00
Atoms (fractional coordinates):
1 Gd 0.6185 0.0000 0.1777
2 Au 0.3677 0.0000 0.5392
3 Si 0.6394 0.5000 0.4576
4 Gd 0.8799 0.0000 0.6774
5 Si 0.8756 0.5000 0.9633
6 Gd 0.1196 0.5000 0.3238
7 Gd 0.3775 0.5000 0.8219
8 Si 0.1217 0.0000 0.0391

***

No. 4
This record from the Open Quantum Materials Database describes an optimized crystal structure of Gd4SiAu3. The functional is GGA-PBE.

Values from the calculation:
For the final energy, the calculation gives -40.25 eV/cell. As for the crystal system: monoclinic. The value obtained for the spin magnetization is 0.029 Bohr magnetons per cell.

Unit cell a=5.8380 b=4.5323 c=7.3807 alpha=90.00 beta=91.01 gamma=90.00
Atoms (fractional coordinates):
1 Gd 0.6383 0.0000 0.8205
2 Gd 0.3600 0.5000 0.1813
3 Au 0.1532 0.0000 0.9554
4 Au 0.6460 0.5000 0.5396
5 Si 0.3508 0.0000 0.4575
6 Au 0.8427 0.5000 0.0435
7 Gd 0.8652 0.0000 0.3232
8 Gd 0.1439 0.5000 0.6789